(1)
Entry from Alexandria via LeMat-Bulk: a relaxed structure of TbPO4 (GGA-PBEsol).

```
data_TbPO4
_cell_length_a 4.819
_cell_length_b 4.819
_cell_length_c 6.530
_cell_angle_alpha 111.65
_cell_angle_beta 111.65
_cell_angle_gamma 90.00
_space_group_name_H-M_alt 'P 1'
_space_group_IT_number 1
_space_group_name_Hall 'P 1'
loop_
_atom_site_label
_atom_site_fract_x
_atom_site_fract_y
_atom_site_fract_z
_atom_site_occupancy
O1 0.817 0.699 0.150 1
Tb1 0.250 0.750 0.500 1
O2 0.549 0.183 0.850 1
O3 0.332 0.451 0.150 1
O4 0.949 0.082 0.650 1
O5 0.701 0.567 0.650 1
P1 0.750 0.250 0.500 1
P2 0.500 0.500 0.000 1
O6 0.918 0.299 0.350 1
O7 0.433 0.051 0.350 1
O8 0.301 0.668 0.850 1
Tb2 0.000 0.000 0.000 1
```

Summary:
- raw formation energy (eV per atom) = -3.02
- symmetry = I4_1/a (88)

(2)
Entry from Alexandria via LeMat-Bulk: a relaxed structure of TbPO4 (GGA-PBEsol).

```
data_TbPO4
_cell_length_a 6.264
_cell_length_b 6.585
_cell_length_c 6.771
_cell_angle_alpha 90.00
_cell_angle_beta 90.00
_cell_angle_gamma 104.23
_space_group_name_H-M_alt 'P 1'
_space_group_IT_number 1
_space_group_name_Hall 'P 1'
loop_
_atom_site_label
_atom_site_fract_x
_atom_site_fract_y
_atom_site_fract_z
_atom_site_occupancy
P1 0.387 0.698 0.161 1
O1 0.181 0.527 0.100 1
O2 0.819 0.473 0.900 1
Tb1 0.595 0.782 0.653 1
O3 0.319 0.973 0.600 1
O4 0.715 0.117 0.790 1
O5 0.785 0.383 0.290 1
P2 0.613 0.302 0.839 1
O6 0.432 0.251 0.000 1
Tb2 0.905 0.718 0.153 1
O7 0.497 0.615 0.339 1
O8 0.215 0.617 0.710 1
O9 0.997 0.115 0.161 1
O10 0.932 0.751 0.500 1
Tb3 0.405 0.218 0.347 1
O11 0.681 0.027 0.400 1
O12 0.568 0.749 0.000 1
P3 0.887 0.198 0.339 1
O13 0.068 0.249 0.500 1
P4 0.113 0.802 0.661 1
O14 0.503 0.385 0.661 1
O15 0.003 0.885 0.839 1
O16 0.285 0.883 0.210 1
Tb4 0.095 0.282 0.847 1
```

Summary:
- raw formation energy (eV per atom) = -3.05
- symmetry = P2_1/c (14)

Q: What is the raw formation energy in the first record?
A: -3.02 eV per atom

Q: Which of these has the lowest raw formation energy?
A: number 2